Sr2BeRh meta-GGA SCAN single point on PBEsol structure; ΔH_f (0 K) = -2.9 kJ per mole of atoms; DOS at the Fermi energy = 3.03 states/eV/cell
1.0
3.306 0.000 0.000
0.000 3.306 0.000
0.000 0.000 8.657
Sr Be Rh
2 1 1
Cartesian
0.000 0.000 0.000 Sr
1.653 1.653 3.566 Sr
0.000 0.000 5.812 Be
1.653 1.653 6.365 Rh

***

Sr2BeRh meta-GGA SCAN single point on PBEsol structure; ΔH_f (0 K) = -29.9 kJ per mole of atoms; DOS at the Fermi energy = 2.83 states/eV/cell
1.0
2.000 1.155 8.039
-2.000 1.155 8.039
0.000 -2.309 8.039
Sr Be Rh
2 1 1
Cartesian
0.000 0.000 0.000 Sr
0.000 0.000 4.134 Sr
0.000 0.000 10.105 Be
0.000 0.000 18.149 Rh

***

What is the formula in the first record? Sr2BeRh

***

What is the formula in the first record? Sr2BeRh